i) VASP calculation (PBE-GGA) on a relaxed MgCdOs2 crystal.

a b c (Å): 2.756 2.756 9.423
angles (deg): 90.00 90.00 115.28
Fractional coordinates of all 4 atoms:
Mg (0.000, 0.000, 0.000)
Cd (0.000, 0.000, 0.500)
Os (0.500, 0.500, 0.240)
Os (0.500, 0.500, 0.760)



ii) VASP calculation (PBE-GGA) on a relaxed MgCdOs2 crystal.

a b c (Å): 4.906 4.906 4.924
angles (deg): 99.44 99.44 33.78
Fractional coordinates of all 4 atoms:
Mg (0.000, 0.000, 0.000)
Cd (0.500, 0.500, 0.500)
Os (0.253, 0.253, 0.777)
Os (0.747, 0.747, 0.223)



Short version: i) is the least stable of them.



i) VASP calculation (PBE-GGA) on a relaxed MgCdOs2 crystal.

a b c (Å): 4.781 4.781 5.071
angles (deg): 97.86 97.86 34.84
Fractional coordinates of all 4 atoms:
Mg (0.000, 0.000, 0.000)
Cd (0.759, 0.759, 0.227)
Os (0.248, 0.248, 0.709)
Os (0.513, 0.513, 0.537)



ii) VASP calculation (PBE-GGA) on a relaxed MgCdOs2 crystal.

a b c (Å): 2.983 4.598 4.700
angles (deg): 90.00 90.00 90.00
Fractional coordinates of all 4 atoms:
Mg (0.000, 0.000, 0.000)
Cd (0.500, 0.500, 0.000)
Os (0.000, 0.500, 0.500)
Os (0.500, 0.000, 0.500)



Short version: ii) is the least stable of them.



i) VASP calculation (PBE-GGA) on a relaxed MgCdOs2 crystal.

a b c (Å): 2.877 2.877 8.215
angles (deg): 90.00 90.00 90.00
Fractional coordinates of all 4 atoms:
Mg (0.000, 0.000, 0.000)
Cd (0.500, 0.500, 0.697)
Os (0.000, 0.000, 0.434)
Os (0.500, 0.500, 0.238)



ii) VASP calculation (PBE-GGA) on a relaxed MgCdOs2 crystal.

a b c (Å): 5.178 5.178 5.178
angles (deg): 136.39 136.39 63.38
Fractional coordinates of all 4 atoms:
Mg (0.000, 0.000, 0.000)
Cd (0.500, 0.500, 0.000)
Os (0.250, 0.750, 0.500)
Os (0.750, 0.250, 0.500)



Short version: ii) is the least stable of them.



i) VASP calculation (PBE-GGA) on a relaxed Mg2CdP2 crystal.

a b c (Å): 5.743 5.743 5.743
angles (deg): 132.00 132.00 70.23
Fractional coordinates of all 5 atoms:
Mg (0.250, 0.750, 0.500)
Mg (0.750, 0.250, 0.500)
Cd (0.000, 0.000, 0.000)
P (0.381, 0.381, 0.000)
P (0.619, 0.619, 0.000)



ii) VASP calculation (PBE-GGA) on a relaxed Mg2CdP2 crystal.

a b c (Å): 7.845 7.845 3.030
angles (deg): 90.00 90.00 90.00
Fractional coordinates of all 10 atoms:
Mg (0.141, 0.359, 0.000)
Mg (0.359, 0.859, 0.000)
Mg (0.641, 0.141, 0.000)
Mg (0.859, 0.641, 0.000)
Cd (0.000, 0.000, 0.500)
Cd (0.500, 0.500, 0.500)
P (0.157, 0.657, 0.500)
P (0.343, 0.157, 0.500)
P (0.657, 0.843, 0.500)
P (0.843, 0.343, 0.500)



Short version: ii) is the least stable of them.



i) VASP calculation (PBE-GGA) on a relaxed Mg8CdPb3 crystal.

a b c (Å): 6.873 6.873 8.300
angles (deg): 113.13 113.13 91.01
Fractional coordinates of all 12 atoms:
Mg (0.000, 0.000, 0.000)
Mg (0.204, 0.774, 0.511)
Mg (0.244, 0.244, 0.505)
Mg (0.399, 0.399, 0.249)
Mg (0.502, 0.982, 0.976)
Mg (0.514, 0.514, 0.969)
Mg (0.774, 0.204, 0.511)
Mg (0.982, 0.502, 0.976)
Cd (0.153, 0.153, 0.786)
Pb (0.380, 0.863, 0.251)
Pb (0.630, 0.630, 0.694)
Pb (0.863, 0.380, 0.251)



ii) VASP calculation (PBE-GGA) on a relaxed Mg8CdPb3 crystal.

a b c (Å): 8.464 8.464 8.464
angles (deg): 132.28 132.28 69.78
Fractional coordinates of all 12 atoms:
Mg (0.120, 0.120, 0.484)
Mg (0.120, 0.635, 0.000)
Mg (0.365, 0.365, 0.484)
Mg (0.365, 0.880, 0.000)
Mg (0.635, 0.120, 0.000)
Mg (0.635, 0.635, 0.516)
Mg (0.880, 0.365, 0.000)
Mg (0.880, 0.880, 0.516)
Cd (0.000, 0.000, 0.000)
Pb (0.250, 0.750, 0.500)
Pb (0.500, 0.500, 0.000)
Pb (0.750, 0.250, 0.500)



Short version: i) is the least stable of them.



i) VASP calculation (PBE-GGA) on a relaxed MgCd2Pb2 crystal.

a b c (Å): 9.011 9.011 9.011
angles (deg): 153.83 153.83 37.35
Fractional coordinates of all 5 atoms:
Mg (0.000, 0.000, 0.000)
Cd (0.250, 0.750, 0.500)
Cd (0.750, 0.250, 0.500)
Pb (0.399, 0.399, 0.000)
Pb (0.601, 0.601, 0.000)



ii) VASP calculation (PBE-GGA) on a relaxed MgCd2Pb2 crystal.

a b c (Å): 10.859 10.859 10.859
angles (deg): 161.29 161.29 26.58
Fractional coordinates of all 5 atoms:
Mg (0.000, 0.000, 0.000)
Cd (0.207, 0.207, 0.000)
Cd (0.793, 0.793, 0.000)
Pb (0.400, 0.400, 0.000)
Pb (0.600, 0.600, 0.000)



Short version: i) is the least stable of them.



i) VASP calculation (PBE-GGA) on a relaxed MgCd2Pb2 crystal.

a b c (Å): 8.450 8.450 3.983
angles (deg): 90.00 90.00 90.00
Fractional coordinates of all 10 atoms:
Mg (0.000, 0.000, 0.000)
Mg (0.500, 0.500, 0.000)
Cd (0.129, 0.371, 0.500)
Cd (0.371, 0.871, 0.500)
Cd (0.629, 0.129, 0.500)
Cd (0.871, 0.629, 0.500)
Pb (0.172, 0.672, 0.000)
Pb (0.328, 0.172, 0.000)
Pb (0.672, 0.828, 0.000)
Pb (0.828, 0.328, 0.000)



ii) VASP calculation (PBE-GGA) on a relaxed MgCd2Pb2 crystal.

a b c (Å): 7.705 7.705 4.620
angles (deg): 90.00 90.00 90.00
Fractional coordinates of all 10 atoms:
Mg (0.000, 0.000, 0.000)
Mg (0.500, 0.500, 0.000)
Cd (0.135, 0.365, 0.000)
Cd (0.365, 0.865, 0.000)
Cd (0.635, 0.135, 0.000)
Cd (0.865, 0.635, 0.000)
Pb (0.173, 0.673, 0.500)
Pb (0.327, 0.173, 0.500)
Pb (0.673, 0.827, 0.500)
Pb (0.827, 0.327, 0.500)



Short version: i) is the least stable of them.



i) VASP calculation (PBE-GGA) on a relaxed Mg5Cd2Pb2 crystal.

a b c (Å): 8.529 8.529 7.729
angles (deg): 90.00 90.00 53.23
Fractional coordinates of all 18 atoms:
Mg (0.000, 0.000, 0.000)
Mg (0.038, 0.704, 0.667)
Mg (0.204, 0.538, 0.167)
Mg (0.296, 0.962, 0.667)
Mg (0.462, 0.796, 0.167)
Mg (0.500, 0.500, 0.500)
Mg (0.538, 0.204, 0.833)
Mg (0.704, 0.038, 0.333)
Mg (0.796, 0.462, 0.833)
Mg (0.962, 0.296, 0.333)
Cd (0.136, 0.864, 0.365)
Cd (0.364, 0.636, 0.865)
Cd (0.636, 0.364, 0.135)
Cd (0.864, 0.136, 0.635)
Pb (0.208, 0.208, 0.000)
Pb (0.292, 0.292, 0.500)
Pb (0.708, 0.708, 0.500)
Pb (0.792, 0.792, 0.000)



ii) VASP calculation (PBE-GGA) on a relaxed Mg5Cd2Pb2 crystal.

a b c (Å): 5.622 5.762 7.643
angles (deg): 103.29 109.52 96.23
Fractional coordinates of all 9 atoms:
Mg (0.000, 0.000, 0.000)
Mg (0.039, 0.583, 0.227)
Mg (0.444, 0.666, 0.674)
Mg (0.556, 0.334, 0.326)
Mg (0.961, 0.417, 0.773)
Cd (0.096, 0.180, 0.419)
Cd (0.904, 0.820, 0.581)
Pb (0.486, 0.218, 0.865)
Pb (0.514, 0.782, 0.135)



Short version: i) is the least stable of them.